Entry 1:
DFT (PBE) results for a relaxed structure of Te4Os.

a = 5.685 Å, b = 5.685 Å, c = 5.685 Å
α = 109.47°, β = 109.47°, γ = 109.47°
Fractional coordinates of all 5 atoms:
Te  0.500  0.000  0.000
Te  0.500  0.500  0.500
Te  0.000  0.500  0.000
Te  0.000  0.000  0.500
Os  0.000  0.000  0.000

Values from the calculation:
The density of states at the Fermi level comes out at 3.77 states/eV/cell. The total magnetic moment comes out at 0.0 μB/f.u. The formation energy (no corrections) is 606 meV/atom. The value obtained for the energy above the most stable polymorph in this dataset is 326.2 meV per atom. The calculation puts the raw total energy at -20.77 eV/cell. The volume comes out at 28.288 Å³ per atom.

Entry 2:
DFT (PBE) results for a relaxed structure of Na3Ti3AlS8.

a = 7.051 Å, b = 7.052 Å, c = 7.917 Å
α = 116.47°, β = 90.00°, γ = 119.99°
Each line ends with the local moment (μB).
Fractional coordinates of all 15 atoms:
Na  0.000  0.000  0.000  0.00
Na  0.000  0.500  0.000  0.00
Na  0.500  0.500  0.000  0.00
Ti  0.500  0.000  0.500  0.29
Ti  0.500  0.500  0.500  0.29
Ti  0.000  0.500  0.500  0.29
Al  0.000  0.000  0.500  0.00
S  0.263  0.526  0.290  -0.01
S  0.737  0.474  0.710  -0.01
S  0.768  0.535  0.297  -0.01
S  0.232  0.465  0.703  -0.01
S  0.767  0.029  0.297  -0.01
S  0.233  0.971  0.703  -0.01
S  0.262  0.029  0.297  -0.01
S  0.738  0.971  0.703  -0.01

Values from the calculation:
The density of states at the Fermi level comes out at 6.48 states/eV/cell. The total magnetic moment comes out at 1.0 μB/f.u. The formation energy (no corrections) is -1296 meV/atom. The calculation puts the raw total energy at -83.85 eV/cell. The volume comes out at 19.488 Å³ per atom.

Entry 3:
DFT (PBE) results for a relaxed structure of TaCr3Cu2S8.

a = 6.704 Å, b = 7.105 Å, c = 13.338 Å
α = 90.00°, β = 90.00°, γ = 90.00°
Each line ends with the local moment (μB).
Fractional coordinates of all 28 atoms:
Ta  0.564  0.500  0.073  0.09
Ta  0.436  0.000  0.573  0.09
Cr  0.812  0.500  0.393  2.28
Cr  0.834  0.000  0.705  3.03
Cr  0.188  0.000  0.893  2.28
Cr  0.166  0.500  0.205  3.03
Cr  0.822  0.000  0.920  2.03
Cr  0.178  0.500  0.420  2.03
Cu  0.931  0.000  0.411  -0.04
Cu  0.630  0.500  0.573  -0.02
Cu  0.069  0.500  0.911  -0.04
Cu  0.370  0.000  0.073  -0.02
S  0.980  0.219  0.822  -0.10
S  0.423  0.264  0.168  -0.03
S  0.020  0.281  0.322  -0.10
S  0.577  0.236  0.668  -0.03
S  0.577  0.764  0.668  -0.03
S  0.020  0.719  0.322  -0.10
S  0.423  0.736  0.168  -0.03
S  0.980  0.781  0.822  -0.10
S  0.585  0.000  0.422  -0.01
S  0.966  0.500  0.543  -0.11
S  0.415  0.500  0.922  -0.01
S  0.034  0.000  0.043  -0.11
S  0.918  0.500  0.069  -0.04
S  0.505  0.000  0.913  -0.12
S  0.082  0.000  0.569  -0.04
S  0.495  0.500  0.413  -0.12

Values from the calculation:
The density of states at the Fermi level comes out at 14.95 states/eV/cell. The total magnetic moment comes out at 7.6 μB/f.u. The formation energy (no corrections) is -392 meV/atom. The value obtained for the energy above the most stable polymorph in this dataset is 320.3 meV per atom. The calculation puts the raw total energy at -174.85 eV/cell. The volume comes out at 22.690 Å³ per atom.

The highest formation energy (no corrections) belongs to which entry?
Te4Os

The lowest raw total energy belongs to which entry?
TaCr3Cu2S8

Look up the formation energy (no corrections) of the third one.
-392 meV/atom